Entry 1:
{"formula": "LaPmHg", "functional": "GGA-PBE", "state": "optimized geometry", "lattice_angstrom": [[0.000, 3.745, 3.745], [3.745, 0.000, 3.745], [3.745, 3.745, 0.000]], "species": ["La", "Pm", "Hg"], "frac_coords": [[0.000, 0.000, 0.000], [0.500, 0.500, 0.500], [0.250, 0.250, 0.250]], "spacegroup": "No. 216", "ef_mev_per_atom": -111, "e_above_lowest_polymorph_mev_per_atom": 216, "vol_a3_per_fu": 105.0, "total_energy_ev_per_atom": -3.438}



Entry 2:
{"formula": "LaPm5Hg4", "functional": "GGA-PBE", "state": "optimized geometry", "lattice_angstrom": [[3.801, 0.000, 0.000], [0.000, 3.801, 0.000], [0.000, 0.000, 20.252]], "species": ["La", "Pm", "Pm", "Pm", "Pm", "Pm", "Hg", "Hg", "Hg", "Hg"], "frac_coords": [[0.000, 0.000, 0.000], [0.500, 0.500, 0.124], [0.500, 0.500, 0.312], [0.500, 0.500, 0.500], [0.500, 0.500, 0.688], [0.500, 0.500, 0.876], [0.000, 0.000, 0.215], [0.000, 0.000, 0.405], [0.000, 0.000, 0.595], [0.000, 0.000, 0.785]], "spacegroup": "No. 123", "ef_mev_per_atom": -377, "vol_a3_per_fu": 292.7, "total_energy_ev_per_atom": -3.366}



Entry 3:
{"formula": "La5PmHg4", "functional": "GGA-PBE", "state": "optimized geometry", "lattice_angstrom": [[3.878, 0.000, 0.000], [0.000, 3.878, 0.000], [0.000, 0.000, 20.714]], "species": ["La", "La", "La", "La", "La", "Pm", "Hg", "Hg", "Hg", "Hg"], "frac_coords": [[0.000, 0.000, 0.000], [0.000, 0.000, 0.190], [0.000, 0.000, 0.381], [0.000, 0.000, 0.619], [0.000, 0.000, 0.810], [0.500, 0.500, 0.500], [0.500, 0.500, 0.095], [0.500, 0.500, 0.289], [0.500, 0.500, 0.711], [0.500, 0.500, 0.905]], "spacegroup": "No. 123", "ef_mev_per_atom": -392, "vol_a3_per_fu": 311.6, "total_energy_ev_per_atom": -3.451}



Entry 4:
{"formula": "La6PmHg5", "functional": "GGA-PBE", "state": "optimized geometry", "lattice_angstrom": [[5.533, 0.000, 0.000], [0.000, 7.834, 0.000], [-2.775, 0.000, 8.469]], "species": ["La", "La", "La", "La", "La", "La", "Pm", "Hg", "Hg", "Hg", "Hg", "Hg"], "frac_coords": [[0.000, 0.227, 0.000], [0.000, 0.773, 0.000], [0.326, 0.252, 0.652], [0.326, 0.748, 0.652], [0.674, 0.252, 0.348], [0.674, 0.748, 0.348], [0.500, 0.500, 0.000], [0.150, 0.500, 0.301], [0.166, 0.000, 0.334], [0.500, 0.000, 0.000], [0.834, 0.000, 0.666], [0.850, 0.500, 0.699]], "spacegroup": "No. 10", "ef_mev_per_atom": -374, "vol_a3_per_fu": 367.1, "total_energy_ev_per_atom": -3.360}



Entry 5:
{"formula": "LaPmHg", "functional": "GGA-PBE", "state": "optimized geometry", "lattice_angstrom": [[7.438, 0.000, 0.000], [0.000, 5.259, 0.000], [0.000, 0.000, 9.705]], "species": ["La", "La", "La", "La", "Pm", "Pm", "Pm", "Pm", "Hg", "Hg", "Hg", "Hg"], "frac_coords": [[0.013, 0.250, 0.189], [0.487, 0.750, 0.689], [0.513, 0.250, 0.311], [0.987, 0.750, 0.811], [0.163, 0.250, 0.578], [0.337, 0.750, 0.078], [0.663, 0.250, 0.922], [0.837, 0.750, 0.422], [0.243, 0.250, 0.898], [0.257, 0.750, 0.398], [0.743, 0.250, 0.602], [0.757, 0.750, 0.102]], "spacegroup": "No. 62", "ef_mev_per_atom": -327, "e_above_lowest_polymorph_mev_per_atom": 0, "vol_a3_per_fu": 94.9, "total_energy_ev_per_atom": -3.654}



Entry 6:
{"formula": "LaPm2Hg5", "functional": "GGA-PBE", "state": "optimized geometry", "lattice_angstrom": [[-2.676, 2.676, 7.543], [2.676, -2.676, 7.543], [2.676, 2.676, -7.543]], "species": ["La", "Pm", "Pm", "Hg", "Hg", "Hg", "Hg", "Hg"], "frac_coords": [[0.000, 0.000, 0.000], [0.270, 0.270, 0.000], [0.730, 0.730, 0.000], [0.125, 0.625, 0.500], [0.375, 0.875, 0.500], [0.500, 0.500, 0.000], [0.625, 0.125, 0.500], [0.875, 0.375, 0.500]], "spacegroup": "No. 139", "ef_mev_per_atom": -460, "vol_a3_per_fu": 216.0, "total_energy_ev_per_atom": -2.453}



Entry 7:
{"formula": "LaPm2Hg4", "functional": "GGA-PBE", "state": "optimized geometry", "lattice_angstrom": [[-2.906, 2.906, 7.929], [2.906, -2.906, 7.929], [2.906, 2.906, -7.929]], "species": ["La", "Pm", "Pm", "Hg", "Hg", "Hg", "Hg"], "frac_coords": [[0.000, 0.000, 0.000], [0.399, 0.399, 0.000], [0.601, 0.601, 0.000], [0.000, 0.500, 0.500], [0.201, 0.201, 0.000], [0.500, 0.000, 0.500], [0.799, 0.799, 0.000]], "spacegroup": "No. 139", "ef_mev_per_atom": 26, "e_above_lowest_polymorph_mev_per_atom": 406, "vol_a3_per_fu": 267.8, "total_energy_ev_per_atom": -2.208}



Entry 8:
{"formula": "LaPmHg5", "functional": "GGA-PBE", "state": "optimized geometry", "lattice_angstrom": [[4.743, 0.000, 0.000], [0.000, 4.743, 0.000], [0.000, 0.000, 8.847]], "species": ["La", "Pm", "Hg", "Hg", "Hg", "Hg", "Hg"], "frac_coords": [[0.000, 0.000, 0.000], [0.500, 0.500, 0.500], [0.000, 0.000, 0.500], [0.000, 0.500, 0.248], [0.000, 0.500, 0.752], [0.500, 0.000, 0.248], [0.500, 0.000, 0.752]], "spacegroup": "No. 123", "ef_mev_per_atom": -318, "vol_a3_per_fu": 199.0, "total_energy_ev_per_atom": -1.916}



Entry 9:
{"formula": "La3Pm2Hg2", "functional": "GGA-PBE", "state": "optimized geometry", "lattice_angstrom": [[1.905, -15.883, 0.000], [1.905, 15.883, 0.000], [0.000, 0.000, 3.770]], "species": ["La", "La", "La", "Pm", "Pm", "Hg", "Hg"], "frac_coords": [[0.000, 0.000, 0.000], [0.420, 0.580, 0.500], [0.580, 0.420, 0.500], [0.298, 0.702, 0.500], [0.702, 0.298, 0.500], [0.145, 0.855, 0.000], [0.855, 0.145, 0.000]], "spacegroup": "No. 65", "ef_mev_per_atom": -202, "vol_a3_per_fu": 228.1, "total_energy_ev_per_atom": -3.758}



Entry 10:
{"formula": "La2PmHg4", "functional": "GGA-PBE", "state": "optimized geometry", "lattice_angstrom": [[-2.877, 2.877, 8.008], [2.877, -2.877, 8.008], [2.877, 2.877, -8.008]], "species": ["La", "La", "Pm", "Hg", "Hg", "Hg", "Hg"], "frac_coords": [[0.106, 0.106, 0.000], [0.894, 0.894, 0.000], [0.500, 0.500, 0.000], [0.000, 0.500, 0.500], [0.307, 0.307, 0.000], [0.500, 0.000, 0.500], [0.693, 0.693, 0.000]], "spacegroup": "No. 139", "ef_mev_per_atom": -66, "e_above_lowest_polymorph_mev_per_atom": 298, "vol_a3_per_fu": 265.1, "total_energy_ev_per_atom": -2.325}



Entry 11:
{"formula": "La3Pm4Hg", "functional": "GGA-PBE", "state": "optimized geometry", "lattice_angstrom": [[3.725, 0.000, 0.000], [0.000, 3.725, 0.000], [0.000, 0.000, 19.359]], "species": ["La", "La", "La", "Pm", "Pm", "Pm", "Pm", "Hg"], "frac_coords": [[0.000, 0.000, 0.000], [0.000, 0.000, 0.266], [0.000, 0.000, 0.734], [0.500, 0.500, 0.133], [0.500, 0.500, 0.398], [0.500, 0.500, 0.602], [0.500, 0.500, 0.867], [0.000, 0.000, 0.500]], "spacegroup": "No. 123", "ef_mev_per_atom": -111, "vol_a3_per_fu": 268.6, "total_energy_ev_per_atom": -4.372}



Entry 12:
{"formula": "La4Pm2Hg", "functional": "GGA-PBE", "state": "optimized geometry", "lattice_angstrom": [[8.502, -1.824, 0.000], [8.502, 1.824, 0.000], [-4.037, 0.000, 7.797]], "species": ["La", "La", "La", "La", "Pm", "Pm", "Hg"], "frac_coords": [[0.083, 0.083, 0.199], [0.373, 0.373, 0.124], [0.627, 0.627, 0.876], [0.917, 0.917, 0.801], [0.215, 0.215, 0.639], [0.785, 0.785, 0.361], [0.000, 0.000, 0.500]], "spacegroup": "No. 12", "ef_mev_per_atom": -28, "vol_a3_per_fu": 241.8, "total_energy_ev_per_atom": -4.244}



Entry 13:
{"formula": "La3PmHg4", "functional": "GGA-PBE", "state": "optimized geometry", "lattice_angstrom": [[3.881, 0.000, 0.000], [0.000, 3.881, 0.000], [0.000, 0.000, 15.589]], "species": ["La", "La", "La", "Pm", "Hg", "Hg", "Hg", "Hg"], "frac_coords": [[0.000, 0.000, 0.000], [0.000, 0.000, 0.254], [0.000, 0.000, 0.746], [0.000, 0.000, 0.500], [0.500, 0.500, 0.126], [0.500, 0.500, 0.383], [0.500, 0.500, 0.617], [0.500, 0.500, 0.874]], "spacegroup": "No. 123", "ef_mev_per_atom": -493, "vol_a3_per_fu": 234.8, "total_energy_ev_per_atom": -3.085}



Entry 14:
{"formula": "La6PmHg", "functional": "GGA-PBE", "state": "optimized geometry", "lattice_angstrom": [[6.744, 0.000, 0.000], [-3.366, 5.845, 0.000], [-0.018, -3.875, 8.104]], "species": ["La", "La", "La", "La", "La", "La", "Pm", "Hg"], "frac_coords": [[0.043, 0.482, 0.274], [0.205, 0.163, 0.725], [0.441, 0.234, 0.274], [0.559, 0.766, 0.726], [0.795, 0.837, 0.275], [0.957, 0.518, 0.726], [0.500, 0.000, 0.500], [0.000, 0.000, 0.000]], "spacegroup": "No. 2", "ef_mev_per_atom": 272, "e_above_lowest_polymorph_mev_per_atom": 359, "vol_a3_per_fu": 319.5, "total_energy_ev_per_atom": -4.055}



Entry 15:
{"formula": "LaPm3Hg2", "functional": "GGA-PBE", "state": "optimized geometry", "lattice_angstrom": [[3.785, 0.000, 0.000], [0.000, 3.785, 0.000], [0.000, 0.000, 12.663]], "species": ["La", "Pm", "Pm", "Pm", "Hg", "Hg"], "frac_coords": [[0.000, 0.000, 0.000], [0.500, 0.500, 0.199], [0.500, 0.500, 0.500], [0.500, 0.500, 0.801], [0.000, 0.000, 0.346], [0.000, 0.000, 0.654]], "spacegroup": "No. 123", "ef_mev_per_atom": -317, "e_above_lowest_polymorph_mev_per_atom": 12, "vol_a3_per_fu": 181.4, "total_energy_ev_per_atom": -3.614}



Entry 16:
{"formula": "La3Pm2Hg7", "functional": "GGA-PBE", "state": "optimized geometry", "lattice_angstrom": [[2.636, -11.859, 0.000], [2.636, 11.859, 0.000], [0.000, 0.000, 5.708]], "species": ["La", "La", "La", "Pm", "Pm", "Hg", "Hg", "Hg", "Hg", "Hg", "Hg", "Hg"], "frac_coords": [[0.000, 0.000, 0.000], [0.173, 0.827, 0.000], [0.827, 0.173, 0.000], [0.359, 0.641, 0.500], [0.641, 0.359, 0.500], [0.074, 0.926, 0.500], [0.225, 0.775, 0.500], [0.413, 0.587, 0.000], [0.500, 0.500, 0.500], [0.587, 0.413, 0.000], [0.775, 0.225, 0.500], [0.926, 0.074, 0.500]], "spacegroup": "No. 65", "ef_mev_per_atom": -359, "vol_a3_per_fu": 356.8, "total_energy_ev_per_atom": -2.559}



Entry 17:
{"formula": "La2PmHg3", "functional": "GGA-PBE", "state": "optimized geometry", "lattice_angstrom": [[3.870, 0.000, 0.000], [0.000, 3.870, 0.000], [0.000, 0.000, 11.687]], "species": ["La", "La", "Pm", "Hg", "Hg", "Hg"], "frac_coords": [[0.000, 0.000, 0.170], [0.000, 0.000, 0.830], [0.000, 0.000, 0.500], [0.500, 0.500, 0.000], [0.500, 0.500, 0.343], [0.500, 0.500, 0.657]], "spacegroup": "No. 123", "ef_mev_per_atom": -490, "vol_a3_per_fu": 175.0, "total_energy_ev_per_atom": -3.075}



Entry 18:
{"formula": "La2PmHg4", "functional": "GGA-PBE", "state": "optimized geometry", "lattice_angstrom": [[2.643, 1.526, 9.117], [-2.643, 1.526, 9.117], [0.000, -3.052, 9.117]], "species": ["La", "La", "Pm", "Hg", "Hg", "Hg", "Hg"], "frac_coords": [[0.244, 0.244, 0.244], [0.756, 0.756, 0.756], [0.000, 0.000, 0.000], [0.126, 0.126, 0.126], [0.371, 0.371, 0.371], [0.629, 0.629, 0.629], [0.874, 0.874, 0.874]], "spacegroup": "No. 166", "ef_mev_per_atom": -364, "e_above_lowest_polymorph_mev_per_atom": 0, "vol_a3_per_fu": 220.6, "total_energy_ev_per_atom": -2.623}



Entry 19:
{"formula": "LaPm4Hg", "functional": "GGA-PBE", "state": "optimized geometry", "lattice_angstrom": [[2.817, -10.844, 0.000], [2.817, 10.844, 0.000], [0.000, 0.000, 6.696]], "species": ["La", "La", "Pm", "Pm", "Pm", "Pm", "Pm", "Pm", "Pm", "Pm", "Hg", "Hg"], "frac_coords": [[0.133, 0.867, 0.500], [0.867, 0.133, 0.000], [0.066, 0.934, 0.010], [0.253, 0.747, 0.118], [0.326, 0.674, 0.653], [0.468, 0.532, 0.844], [0.532, 0.468, 0.344], [0.674, 0.326, 0.153], [0.747, 0.253, 0.618], [0.934, 0.066, 0.510], [0.392, 0.608, 0.245], [0.608, 0.392, 0.745]], "spacegroup": "No. 36", "ef_mev_per_atom": -27, "e_above_lowest_polymorph_mev_per_atom": 120, "vol_a3_per_fu": 204.5, "total_energy_ev_per_atom": -4.066}



Entry 20:
{"formula": "LaPm8Hg2", "functional": "GGA-PBE", "state": "optimized geometry", "lattice_angstrom": [[4.471, -7.607, 0.000], [4.471, 7.607, 0.000], [-2.044, 0.000, 5.388]], "species": ["La", "Pm", "Pm", "Pm", "Pm", "Pm", "Pm", "Pm", "Pm", "Hg", "Hg"], "frac_coords": [[0.000, 0.000, 0.000], [0.089, 0.317, 0.606], [0.228, 0.772, 0.000], [0.317, 0.089, 0.606], [0.403, 0.403, 0.202], [0.597, 0.597, 0.798], [0.683, 0.911, 0.394], [0.772, 0.228, 0.000], [0.911, 0.683, 0.394], [0.307, 0.693, 0.500], [0.693, 0.307, 0.500]], "spacegroup": "No. 12", "ef_mev_per_atom": -60, "vol_a3_per_fu": 366.5, "total_energy_ev_per_atom": -4.018}



Entry 21:
{"formula": "LaPmHg", "functional": "GGA-PBE", "state": "optimized geometry", "lattice_angstrom": [[5.244, 0.000, 0.000], [-2.622, 4.542, 0.000], [0.000, 0.000, 3.839]], "species": ["La", "Pm", "Hg"], "frac_coords": [[0.000, 0.000, 0.000], [0.333, 0.667, 0.594], [0.667, 0.333, 0.365]], "spacegroup": "No. 156", "ef_mev_per_atom": -205, "e_above_lowest_polymorph_mev_per_atom": 122, "vol_a3_per_fu": 91.4, "total_energy_ev_per_atom": -3.532}



Entry 22:
{"formula": "La2PmHg8", "functional": "GGA-PBE", "state": "optimized geometry", "lattice_angstrom": [[-2.655, 3.768, 7.462], [2.655, -3.768, 7.462], [2.655, 3.768, -7.462]], "species": ["La", "La", "Pm", "Hg", "Hg", "Hg", "Hg", "Hg", "Hg", "Hg", "Hg"], "frac_coords": [[0.194, 0.194, 0.000], [0.806, 0.806, 0.000], [0.500, 0.500, 0.000], [0.066, 0.357, 0.709], [0.217, 0.000, 0.217], [0.343, 0.843, 0.500], [0.352, 0.643, 0.709], [0.648, 0.357, 0.291], [0.657, 0.157, 0.500], [0.783, 0.000, 0.783], [0.934, 0.643, 0.291]], "spacegroup": "No. 71", "ef_mev_per_atom": -381, "vol_a3_per_fu": 298.6, "total_energy_ev_per_atom": -1.928}



Entry 23:
{"formula": "LaPm2PrHg4", "functional": "GGA-PBE", "state": "optimized geometry", "lattice_angstrom": [[2.723, 1.572, 8.903], [-2.723, 1.572, 8.903], [0.000, -3.144, 8.903]], "species": ["La", "Pm", "Pm", "Pr", "Hg", "Hg", "Hg", "Hg"], "frac_coords": [[0.000, 0.000, 0.000], [0.250, 0.250, 0.250], [0.750, 0.750, 0.750], [0.500, 0.500, 0.500], [0.125, 0.125, 0.125], [0.376, 0.376, 0.376], [0.624, 0.624, 0.624], [0.875, 0.875, 0.875]], "spacegroup": "No. 166", "ef_mev_per_atom": -478, "vol_a3_per_fu": 228.7, "total_energy_ev_per_atom": -3.030}



Entry 24:
{"formula": "LaPmPrHg", "functional": "GGA-PBE", "state": "optimized geometry", "lattice_angstrom": [[0.000, 3.971, 3.971], [3.971, 0.000, 3.971], [3.971, 3.971, 0.000]], "species": ["La", "Pm", "Pr", "Hg"], "frac_coords": [[0.000, 0.000, 0.000], [0.750, 0.750, 0.750], [0.500, 0.500, 0.500], [0.250, 0.250, 0.250]], "spacegroup": "No. 216", "ef_mev_per_atom": -80, "e_above_lowest_polymorph_mev_per_atom": 159, "vol_a3_per_fu": 125.2, "total_energy_ev_per_atom": -3.770}